The following is a DFT calculation (PBE+U) of an optimized crystal structure of FeSeO4.

a = 5.063 Å, b = 5.063 Å, c = 6.738 Å
α = 90.00°, β = 90.00°, γ = 112.90°
Each line ends with the local moment (μB).
Atoms (fractional coordinates):
Fe 0.000 0.000 0.500  3.78
Fe 0.000 0.000 0.000  3.78
Se 0.651 0.349 0.750  0.02
Se 0.349 0.651 0.250  0.02
O 0.287 0.219 0.750  0.04
O 0.219 0.287 0.250  0.04
O 0.781 0.713 0.750  0.04
O 0.713 0.781 0.250  0.04
O 0.757 0.243 0.542  0.02
O 0.757 0.243 0.958  0.02
O 0.243 0.757 0.042  0.02
O 0.243 0.757 0.458  0.02

## Properties
The calculation puts the total energy at -5.7781 eV per atom.